Entry from Alexandria via LeMat-Bulk: an optimized crystal structure of ErZn3Au2 (GGA-PBE).

Results
* symmetry: No. 12
* formation energy from the elements: -437 meV/atom

Cell: 7.313 7.313 8.563 Å, 116.65 116.65 33.29°
Fractional positions:
Er (0.137, 0.137, 0.014)
Er (0.863, 0.863, 0.986)
Zn (0.055, 0.055, 0.395)
Zn (0.292, 0.292, 0.475)
Zn (0.407, 0.407, 0.306)
Zn (0.593, 0.593, 0.694)
Zn (0.708, 0.708, 0.525)
Zn (0.945, 0.945, 0.605)
Au (0.221, 0.221, 0.743)
Au (0.451, 0.451, 0.814)
Au (0.549, 0.549, 0.186)
Au (0.779, 0.779, 0.257)

Entry from Alexandria via LeMat-Bulk: an optimized crystal structure of Sm4FeSn8 (GGA-PBE).

Results
* symmetry: No. 25
* formation energy from the elements: -543 meV/atom

Cell: 4.473 4.554 16.715 Å, 90.00 90.00 90.00°
Fractional positions:
Sm (0.000, 0.000, 0.000)
Sm (0.000, 0.500, 0.493)
Sm (0.500, 0.000, 0.793)
Sm (0.500, 0.500, 0.297)
Fe (0.000, 0.500, 0.701)
Sn (0.000, 0.000, 0.331)
Sn (0.000, 0.000, 0.636)
Sn (0.000, 0.500, 0.147)
Sn (0.000, 0.500, 0.850)
Sn (0.500, 0.000, 0.150)
Sn (0.500, 0.000, 0.456)
Sn (0.500, 0.500, 0.634)
Sn (0.500, 0.500, 0.970)

Entry from Alexandria via LeMat-Bulk: an optimized crystal structure of MnCr2Pt (GGA-PBE).

Results
* symmetry: No. 6
* formation energy from the elements: 16 meV/atom

Cell: 2.637 3.685 5.330 Å, 90.00 96.30 90.00°
Fractional positions:
Mn (0.000, 0.000, 0.000)
Cr (0.138, 0.000, 0.543)
Cr (0.548, 0.500, 0.776)
Pt (0.566, 0.500, 0.274)

Entry from Alexandria via LeMat-Bulk: an optimized crystal structure of LuHf2In (GGA-PBE).

Results
* symmetry: No. 166
* formation energy from the elements: 284 meV/atom

Cell: 11.662 11.662 11.662 Å, 15.45 15.45 15.45°
Fractional positions:
Lu (0.000, 0.000, 0.000)
Hf (0.091, 0.091, 0.091)
Hf (0.909, 0.909, 0.909)
In (0.500, 0.500, 0.500)

Entry from Alexandria via LeMat-Bulk: an optimized crystal structure of BaMg2Cd4Sn (GGA-PBE).

Results
* symmetry: No. 166
* formation energy from the elements: -148 meV/atom

Cell: 10.912 10.912 10.912 Å, 26.22 26.22 26.22°
Fractional positions:
Ba (0.000, 0.000, 0.000)
Mg (0.238, 0.238, 0.238)
Mg (0.762, 0.762, 0.762)
Cd (0.123, 0.123, 0.123)
Cd (0.401, 0.401, 0.401)
Cd (0.599, 0.599, 0.599)
Cd (0.877, 0.877, 0.877)
Sn (0.500, 0.500, 0.500)

Entry from Alexandria via LeMat-Bulk: an optimized crystal structure of HfZr5Al2 (GGA-PBE).

Results
* symmetry: No. 55
* formation energy from the elements: -290 meV/atom

Cell: 6.187 12.374 4.375 Å, 90.00 90.00 90.00°
Fractional positions:
Hf (0.000, 0.000, 0.000)
Hf (0.500, 0.500, 0.000)
Zr (0.000, 0.500, 0.000)
Zr (0.001, 0.249, 0.000)
Zr (0.249, 0.876, 0.500)
Zr (0.251, 0.376, 0.500)
Zr (0.499, 0.749, 0.000)
Zr (0.500, 0.000, 0.000)
Zr (0.501, 0.251, 0.000)
Zr (0.749, 0.624, 0.500)
Zr (0.751, 0.124, 0.500)
Zr (0.999, 0.751, 0.000)
Al (0.249, 0.124, 0.500)
Al (0.251, 0.624, 0.500)
Al (0.749, 0.376, 0.500)
Al (0.751, 0.876, 0.500)

no.,total DFT energy (no corrections) (eV/f.u.)
1,-17.6
2,-66.4
3,-34.4
4,-26.0
5,-14.0
6,-62.5